# SnHSe, relaxed, DFT PBE
data_SnHSe
_space_group_name_H-M_alt 'C 1 2/m 1'
_space_group_IT_number 12
_space_group_name_Hall '-C 2y'
_cell_length_a 19.3486
_cell_length_b 4.2995
_cell_length_c 4.2962
_cell_angle_alpha 90.00
_cell_angle_beta 102.44
_cell_angle_gamma 90.00
loop_
_atom_site_label
_atom_site_fract_x
_atom_site_fract_y
_atom_site_fract_z
Sn1 0.1788 0.0000 0.1804
H1 0.0000 0.0875 0.0000
Se1 0.1770 0.5000 0.6791
# E in eV for the cell shown: -46.614
# Crystal system: monoclinic